# CsCeAgBr6 (PBE, relaxed)
data_CsCeAgBr6
_chemical_formula_sum 'Cs2 Ce2 Ag2 Br12'
_symmetry_space_group_name_H-M 'P 1'
_symmetry_Int_Tables_number 1
_cell_length_a 7.343
_cell_length_b 7.343
_cell_length_c 16.496
_cell_angle_alpha 90.00
_cell_angle_beta 90.00
_cell_angle_gamma 120.00
loop_
_symmetry_equiv_pos_as_xyz
'x,y,z'
loop_
_atom_site_label
_atom_site_fract_x
_atom_site_fract_y
_atom_site_fract_z
Cs1 0.000 0.000 0.000
Cs2 0.000 0.000 0.500
Ce1 0.667 0.333 0.250
Ce2 0.333 0.667 0.750
Ag1 0.333 0.667 0.250
Ag2 0.667 0.333 0.750
Br1 0.636 0.627 0.150
Br2 0.991 0.364 0.150
Br3 0.364 0.991 0.650
Br4 0.009 0.636 0.850
Br5 0.373 0.364 0.350
Br6 0.991 0.627 0.350
Br7 0.627 0.991 0.850
Br8 0.636 0.009 0.350
Br9 0.009 0.373 0.650
Br10 0.373 0.009 0.150
Br11 0.627 0.636 0.650
Br12 0.364 0.373 0.850
# Density (g/cm3): 3.709
# E_form (uncorrected) (eV/atom): -1.38
# Magnetic moment (μB/cell): 0.00

# Cs2CeAgBr6 (PBE, relaxed)
data_Cs2CeAgBr6
_chemical_formula_sum 'Cs2 Ce1 Ag1 Br6'
_symmetry_space_group_name_H-M 'P 1'
_symmetry_Int_Tables_number 1
_cell_length_a 6.920
_cell_length_b 8.044
_cell_length_c 8.044
_cell_angle_alpha 120.00
_cell_angle_beta 90.00
_cell_angle_gamma 90.00
loop_
_symmetry_equiv_pos_as_xyz
'x,y,z'
loop_
_atom_site_label
_atom_site_fract_x
_atom_site_fract_y
_atom_site_fract_z
Cs1 0.233 0.333 0.667
Cs2 0.767 0.667 0.333
Ce1 0.500 0.000 0.000
Ag1 0.000 0.000 0.000
Br1 0.749 0.169 0.337
Br2 0.749 0.169 0.831
Br3 0.749 0.663 0.831
Br4 0.251 0.831 0.169
Br5 0.251 0.337 0.169
Br6 0.251 0.831 0.663
# DOS at the Fermi energy (states/eV/f.u.): 2.430
# Density (g/cm3): 4.253
# E_form (uncorrected) (eV/atom): -1.55
# Offset from the most stable computed form (meV/atom): 0.0
# Magnetic moment (μB/cell): 1.00

# CsCe2AgBr8 (PBE, relaxed)
data_CsCe2AgBr8
_chemical_formula_sum 'Cs1 Ce2 Ag1 Br8'
_symmetry_space_group_name_H-M 'P 1'
_symmetry_Int_Tables_number 1
_cell_length_a 7.626
_cell_length_b 7.626
_cell_length_c 8.913
_cell_angle_alpha 90.00
_cell_angle_beta 90.00
_cell_angle_gamma 120.00
loop_
_symmetry_equiv_pos_as_xyz
'x,y,z'
loop_
_atom_site_label
_atom_site_fract_x
_atom_site_fract_y
_atom_site_fract_z
Cs1 0.000 0.000 0.500
Ce1 0.667 0.333 0.093
Ce2 0.333 0.667 0.907
Ag1 0.000 0.000 0.000
Br1 0.933 0.636 0.845
Br2 0.364 0.297 0.845
Br3 0.703 0.067 0.845
Br4 0.067 0.364 0.155
Br5 0.636 0.703 0.155
Br6 0.297 0.933 0.155
Br7 0.667 0.333 0.407
Br8 0.333 0.667 0.593
# DOS at the Fermi energy (states/eV/f.u.): 15.321
# Density (g/cm3): 4.292
# E_form (uncorrected) (eV/atom): -1.54
# Magnetic moment (μB/cell): 2.00